# 1
DFT (PBE-GGA) results for a geometry-optimized In2SnF structure.

Output
The magnetic moment comes out at 0.00 μB/cell. The distance to the lowest polymorph of the same formula is 113.6 meV/atom. The raw formation energy comes out at -0.5795 eV/atom.

Cell and atoms, written as CIF:
```
data_In2SnF
_symmetry_space_group_name_H-M 'P 4/m m m'
_symmetry_Int_Tables_number 123
_symmetry_space_group_name_Hall '-P 4 2'
_cell_length_a 5.475
_cell_length_b 5.475
_cell_length_c 3.251
_cell_angle_alpha 90.00
_cell_angle_beta 90.00
_cell_angle_gamma 90.00
loop_
_atom_site_label
_atom_site_fract_x
_atom_site_fract_y
_atom_site_fract_z
_atom_site_occupancy
In1 0.000 0.500 0.000 1
Sn1 0.000 0.000 0.500 1
F1 0.500 0.500 0.500 1
```

***

# 2
DFT (PBE-GGA) results for a geometry-optimized Sc2TaPd9 structure.

Output
The magnetic moment comes out at 0.00 μB/cell. Its energy relative to the elements is -0.7583 eV/atom.

Cell and atoms, written as CIF:
```
data_Sc2TaPd9
_symmetry_space_group_name_H-M 'P 4/m m m'
_symmetry_Int_Tables_number 123
_symmetry_space_group_name_Hall '-P 4 2'
_cell_length_a 3.988
_cell_length_b 3.988
_cell_length_c 11.996
_cell_angle_alpha 90.00
_cell_angle_beta 90.00
_cell_angle_gamma 90.00
loop_
_atom_site_label
_atom_site_fract_x
_atom_site_fract_y
_atom_site_fract_z
_atom_site_occupancy
Sc1 0.000 0.000 0.163 1
Ta1 0.000 0.000 0.500 1
Pd1 0.000 0.500 0.000 1
Pd2 0.000 0.500 0.340 1
Pd3 0.500 0.500 0.170 1
Pd4 0.500 0.500 0.500 1
```

***

# 3
DFT (PBE-GGA) results for a geometry-optimized RbSc3Ag structure.

Output
The magnetic moment comes out at 1.06 μB/cell. The distance to the lowest polymorph of the same formula is 0.0 meV/atom. Its energy relative to the elements is 0.5206 eV/atom.

Cell and atoms, written as CIF:
```
data_RbSc3Ag
_symmetry_space_group_name_H-M 'P m -3 m'
_symmetry_Int_Tables_number 221
_symmetry_space_group_name_Hall '-P 4 2 3'
_cell_length_a 5.430
_cell_length_b 5.430
_cell_length_c 5.430
_cell_angle_alpha 90.00
_cell_angle_beta 90.00
_cell_angle_gamma 90.00
loop_
_atom_site_label
_atom_site_fract_x
_atom_site_fract_y
_atom_site_fract_z
_atom_site_occupancy
Rb1 0.000 0.000 0.000 1
Sc1 0.000 0.500 0.500 1
Ag1 0.500 0.500 0.500 1
```

***

# 4
DFT (PBE-GGA) results for a geometry-optimized Be2SiTcHg structure.

Output
The magnetic moment comes out at 0.00 μB/cell. The raw formation energy comes out at 0.6866 eV/atom.

Cell and atoms, written as CIF:
```
data_Be2SiTcHg
_symmetry_space_group_name_H-M 'P 4/m m m'
_symmetry_Int_Tables_number 123
_symmetry_space_group_name_Hall '-P 4 2'
_cell_length_a 4.383
_cell_length_b 4.383
_cell_length_c 4.561
_cell_angle_alpha 90.00
_cell_angle_beta 90.00
_cell_angle_gamma 90.00
loop_
_atom_site_label
_atom_site_fract_x
_atom_site_fract_y
_atom_site_fract_z
_atom_site_occupancy
Be1 0.000 0.500 0.000 1
Si1 0.000 0.000 0.500 1
Tc1 0.000 0.000 0.000 1
Hg1 0.500 0.500 0.500 1
```

***

# 5
DFT (PBE-GGA) results for a geometry-optimized ErSc3 structure.

Output
The magnetic moment comes out at 0.00 μB/cell. The distance to the lowest polymorph of the same formula is 38.2 meV/atom. Its energy relative to the elements is 0.0541 eV/atom.

Cell and atoms, written as CIF:
```
data_ErSc3
_symmetry_space_group_name_H-M 'P m -3 m'
_symmetry_Int_Tables_number 221
_symmetry_space_group_name_Hall '-P 4 2 3'
_cell_length_a 4.698
_cell_length_b 4.698
_cell_length_c 4.698
_cell_angle_alpha 90.00
_cell_angle_beta 90.00
_cell_angle_gamma 90.00
loop_
_atom_site_label
_atom_site_fract_x
_atom_site_fract_y
_atom_site_fract_z
_atom_site_occupancy
Er1 0.000 0.000 0.000 1
Sc1 0.000 0.500 0.500 1
```

***

# 6
DFT (PBE-GGA) results for a geometry-optimized TbAl3Co structure.

Output
The magnetic moment comes out at 0.00 μB/cell. The distance to the lowest polymorph of the same formula is 179.4 meV/atom. Its energy relative to the elements is -0.3608 eV/atom.

Cell and atoms, written as CIF:
```
data_TbAl3Co
_symmetry_space_group_name_H-M 'P m -3 m'
_symmetry_Int_Tables_number 221
_symmetry_space_group_name_Hall '-P 4 2 3'
_cell_length_a 4.510
_cell_length_b 4.510
_cell_length_c 4.510
_cell_angle_alpha 90.00
_cell_angle_beta 90.00
_cell_angle_gamma 90.00
loop_
_atom_site_label
_atom_site_fract_x
_atom_site_fract_y
_atom_site_fract_z
_atom_site_occupancy
Tb1 0.000 0.000 0.000 1
Al1 0.000 0.500 0.500 1
Co1 0.500 0.500 0.500 1
```

***

# 7
DFT (PBE-GGA) results for a geometry-optimized Er2NpZn2Rh5 structure.

Output
The magnetic moment comes out at 4.88 μB/cell. Its energy relative to the elements is -0.6327 eV/atom.

Cell and atoms, written as CIF:
```
data_Er2NpZn2Rh5
_symmetry_space_group_name_H-M 'P 4/m b m'
_symmetry_Int_Tables_number 127
_symmetry_space_group_name_Hall '-P 4 2ab'
_cell_length_a 9.741
_cell_length_b 9.741
_cell_length_c 3.679
_cell_angle_alpha 90.00
_cell_angle_beta 90.00
_cell_angle_gamma 90.00
loop_
_atom_site_label
_atom_site_fract_x
_atom_site_fract_y
_atom_site_fract_z
_atom_site_occupancy
Er1 0.169 0.331 0.000 1
Np1 0.000 0.000 0.000 1
Zn1 0.126 0.626 0.000 1
Rh1 0.000 0.500 0.500 1
Rh2 0.069 0.799 0.500 1
```

***

# 8
DFT (PBE-GGA) results for a geometry-optimized La4TbNdDy2 structure.

Output
The magnetic moment comes out at 0.00 μB/cell. Its energy relative to the elements is 0.0173 eV/atom.

Cell and atoms, written as CIF:
```
data_La4TbNdDy2
_symmetry_space_group_name_H-M 'P m m m'
_symmetry_Int_Tables_number 47
_symmetry_space_group_name_Hall '-P 2 2'
_cell_length_a 5.221
_cell_length_b 5.259
_cell_length_c 10.114
_cell_angle_alpha 90.00
_cell_angle_beta 90.00
_cell_angle_gamma 90.00
loop_
_atom_site_label
_atom_site_fract_x
_atom_site_fract_y
_atom_site_fract_z
_atom_site_occupancy
La1 0.000 0.000 0.248 1
La2 0.500 0.500 0.248 1
Tb1 0.000 0.500 0.000 1
Nd1 0.500 0.000 0.500 1
Dy1 0.000 0.500 0.500 1
Dy2 0.500 0.000 0.000 1
```

***

# 9
DFT (PBE-GGA) results for a geometry-optimized Er8CoTc2 structure.

Output
The magnetic moment comes out at 0.00 μB/cell. Its energy relative to the elements is -0.0373 eV/atom.

Cell and atoms, written as CIF:
```
data_Er8CoTc2
_symmetry_space_group_name_H-M 'C 1 m 1'
_symmetry_Int_Tables_number 8
_symmetry_space_group_name_Hall 'C -2y'
_cell_length_a 8.145
_cell_length_b 12.778
_cell_length_c 5.910
_cell_angle_alpha 90.00
_cell_angle_beta 114.14
_cell_angle_gamma 90.00
loop_
_atom_site_label
_atom_site_fract_x
_atom_site_fract_y
_atom_site_fract_z
_atom_site_occupancy
Er1 0.000 0.000 0.000 1
Er2 0.065 0.373 0.777 1
Er3 0.132 0.134 0.555 1
Er4 0.206 0.500 0.386 1
Er5 0.328 0.201 0.167 1
Co1 0.353 0.000 0.366 1
Tc1 0.382 0.308 0.739 1
```

***

# 10
DFT (PBE-GGA) results for a geometry-optimized Al2Ga2Te structure.

Output
The magnetic moment comes out at 0.00 μB/cell. The distance to the lowest polymorph of the same formula is 0.0 meV/atom. The raw formation energy comes out at 0.0551 eV/atom.

Cell and atoms, written as CIF:
```
data_Al2Ga2Te
_symmetry_space_group_name_H-M 'P 4/m b m'
_symmetry_Int_Tables_number 127
_symmetry_space_group_name_Hall '-P 4 2ab'
_cell_length_a 8.389
_cell_length_b 8.389
_cell_length_c 2.914
_cell_angle_alpha 90.00
_cell_angle_beta 90.00
_cell_angle_gamma 90.00
loop_
_atom_site_label
_atom_site_fract_x
_atom_site_fract_y
_atom_site_fract_z
_atom_site_occupancy
Al1 0.165 0.335 0.000 1
Ga1 0.130 0.630 0.500 1
Te1 0.000 0.000 0.000 1
```

***

# 11
DFT (PBE-GGA) results for a geometry-optimized TbHoEr structure.

Output
The magnetic moment comes out at 0.00 μB/cell. The distance to the lowest polymorph of the same formula is 0.8 meV/atom. Its energy relative to the elements is 0.0195 eV/atom.

Cell and atoms, written as CIF:
```
data_TbHoEr
_symmetry_space_group_name_H-M 'P 1 21/m 1'
_symmetry_Int_Tables_number 11
_symmetry_space_group_name_Hall '-P 2yb'
_cell_length_a 4.979
_cell_length_b 4.978
_cell_length_c 7.882
_cell_angle_alpha 90.00
_cell_angle_beta 108.47
_cell_angle_gamma 90.00
loop_
_atom_site_label
_atom_site_fract_x
_atom_site_fract_y
_atom_site_fract_z
_atom_site_occupancy
Tb1 0.084 0.250 0.167 1
Ho1 0.416 0.250 0.832 1
Er1 0.250 0.750 0.500 1
```

***

# 12
DFT (PBE-GGA) results for a geometry-optimized TbPmYEr2 structure.

Output
The magnetic moment comes out at 0.05 μB/cell. Its energy relative to the elements is 0.4022 eV/atom.

Cell and atoms, written as CIF:
```
data_TbPmYEr2
_symmetry_space_group_name_H-M 'C m c m'
_symmetry_Int_Tables_number 63
_symmetry_space_group_name_Hall '-C 2c 2'
_cell_length_a 8.345
_cell_length_b 11.452
_cell_length_c 7.169
_cell_angle_alpha 90.00
_cell_angle_beta 90.00
_cell_angle_gamma 90.00
loop_
_atom_site_label
_atom_site_fract_x
_atom_site_fract_y
_atom_site_fract_z
_atom_site_occupancy
Tb1 0.000 0.217 0.250 1
Pm1 0.000 0.486 0.250 1
Y1 0.000 0.230 0.750 1
Er1 0.187 0.000 0.000 1
```

***

# 13
DFT (PBE-GGA) results for a geometry-optimized TbEr2Tl9 structure.

Output
The magnetic moment comes out at 0.00 μB/cell. Its energy relative to the elements is -0.2174 eV/atom.

Cell and atoms, written as CIF:
```
data_TbEr2Tl9
_symmetry_space_group_name_H-M 'P 4/m m m'
_symmetry_Int_Tables_number 123
_symmetry_space_group_name_Hall '-P 4 2'
_cell_length_a 4.760
_cell_length_b 4.760
_cell_length_c 14.278
_cell_angle_alpha 90.00
_cell_angle_beta 90.00
_cell_angle_gamma 90.00
loop_
_atom_site_label
_atom_site_fract_x
_atom_site_fract_y
_atom_site_fract_z
_atom_site_occupancy
Tb1 0.000 0.000 0.000 1
Er1 0.000 0.000 0.333 1
Tl1 0.000 0.500 0.168 1
Tl2 0.000 0.500 0.500 1
Tl3 0.500 0.500 0.000 1
Tl4 0.500 0.500 0.334 1
```

***

# 14
DFT (PBE-GGA) results for a geometry-optimized Ce6AlPt structure.

Output
The magnetic moment comes out at 6.47 μB/cell. Its energy relative to the elements is -0.1790 eV/atom.

Cell and atoms, written as CIF:
```
data_Ce6AlPt
_symmetry_space_group_name_H-M 'C 1 2/m 1'
_symmetry_Int_Tables_number 12
_symmetry_space_group_name_Hall '-C 2y'
_cell_length_a 7.738
_cell_length_b 9.457
_cell_length_c 6.372
_cell_angle_alpha 90.00
_cell_angle_beta 106.52
_cell_angle_gamma 90.00
loop_
_atom_site_label
_atom_site_fract_x
_atom_site_fract_y
_atom_site_fract_z
_atom_site_occupancy
Ce1 0.131 0.215 0.309 1
Ce2 0.177 0.500 0.113 1
Al1 0.000 0.500 0.500 1
Pt1 0.000 0.000 0.000 1
```

***

# 15
DFT (PBE-GGA) results for a geometry-optimized Na2CrPOs structure.

Output
The magnetic moment comes out at 2.66 μB/cell. Its energy relative to the elements is 1.4925 eV/atom.

Cell and atoms, written as CIF:
```
data_Na2CrPOs
_symmetry_space_group_name_H-M 'P 4/m m m'
_symmetry_Int_Tables_number 123
_symmetry_space_group_name_Hall '-P 4 2'
_cell_length_a 5.175
_cell_length_b 5.175
_cell_length_c 4.433
_cell_angle_alpha 90.00
_cell_angle_beta 90.00
_cell_angle_gamma 90.00
loop_
_atom_site_label
_atom_site_fract_x
_atom_site_fract_y
_atom_site_fract_z
_atom_site_occupancy
Na1 0.000 0.500 0.000 1
Cr1 0.000 0.000 0.000 1
P1 0.500 0.500 0.500 1
Os1 0.000 0.000 0.500 1
```

***

# 16
DFT (PBE-GGA) results for a geometry-optimized Cs2BrO2 structure.

Output
The magnetic moment comes out at 2.00 μB/cell. The distance to the lowest polymorph of the same formula is 0.0 meV/atom. The raw formation energy comes out at -1.2207 eV/atom.

Cell and atoms, written as CIF:
```
data_Cs2BrO2
_symmetry_space_group_name_H-M 'C 1 2/m 1'
_symmetry_Int_Tables_number 12
_symmetry_space_group_name_Hall '-C 2y'
_cell_length_a 8.181
_cell_length_b 5.233
_cell_length_c 8.329
_cell_angle_alpha 90.00
_cell_angle_beta 96.80
_cell_angle_gamma 90.00
loop_
_atom_site_label
_atom_site_fract_x
_atom_site_fract_y
_atom_site_fract_z
_atom_site_occupancy
Cs1 0.182 0.000 0.272 1
Br1 0.000 0.500 0.000 1
O1 0.000 0.371 0.500 1
```

***

# 17
DFT (PBE-GGA) results for a geometry-optimized AcHo structure.

Output
The magnetic moment comes out at 0.00 μB/cell. The distance to the lowest polymorph of the same formula is 26.3 meV/atom. Its energy relative to the elements is 0.0867 eV/atom.

Cell and atoms, written as CIF:
```
data_AcHo
_symmetry_space_group_name_H-M 'P m -3 m'
_symmetry_Int_Tables_number 221
_symmetry_space_group_name_Hall '-P 4 2 3'
_cell_length_a 4.219
_cell_length_b 4.219
_cell_length_c 4.219
_cell_angle_alpha 90.00
_cell_angle_beta 90.00
_cell_angle_gamma 90.00
loop_
_atom_site_label
_atom_site_fract_x
_atom_site_fract_y
_atom_site_fract_z
_atom_site_occupancy
Ac1 0.000 0.000 0.000 1
Ho1 0.500 0.500 0.500 1
```